{"formula": "V2Sb2Pd", "functional": "GGA-PBE", "state": "relaxed", "cell": [[-0.466, -7.270, 0.430], [2.843, -0.578, -6.696], [3.122, -0.121, 1.336]], "species": ["Sb", "Sb", "V", "V", "Pd", "Pd", "Sb", "V", "V", "Sb"], "frac_coords": [[0.323, 0.177, 0.500], [0.823, 0.323, 0.500], [0.884, 0.616, 0.000], [0.616, 0.116, 0.000], [0.500, 0.500, 0.000], [0.000, 0.000, 0.000], [0.177, 0.677, 0.500], [0.116, 0.384, 0.000], [0.384, 0.884, 0.000], [0.677, 0.823, 0.500]], "crystal_system": "tetragonal", "de_polymorph_ev_per_fu": 0.00, "volume_a3_per_cell": 180.9, "dos_at_fermi_per_ev_fu": 4.41, "formation_energy_uncorrected_mev_per_atom": 30}

{"formula": "VSbPd6", "functional": "GGA-PBE", "state": "relaxed", "cell": [[-2.492, 2.101, -2.270], [-3.093, -1.681, 1.839], [0.025, 5.869, 5.407]], "species": ["Pd", "Pd", "Sb", "Pd", "Pd", "Pd", "Pd", "V"], "frac_coords": [[0.500, 0.000, 0.737], [0.500, 0.500, 0.000], [0.000, 0.000, 0.000], [0.000, 0.500, 0.263], [0.500, 0.000, 0.263], [0.500, 0.500, 0.500], [0.000, 0.500, 0.737], [0.000, 0.000, 0.500]], "crystal_system": "tetragonal", "de_polymorph_ev_per_fu": 0.00, "volume_a3_per_cell": 125.9, "dos_at_fermi_per_ev_fu": 7.44, "formation_energy_uncorrected_mev_per_atom": -300}

{"formula": "VSbPd", "functional": "GGA-PBE", "state": "relaxed", "cell": [[2.884, 0.000, 0.000], [0.000, 2.884, 0.000], [-1.442, -1.442, 7.192]], "species": ["V", "Pd", "Sb"], "frac_coords": [[0.778, 0.778, 0.556], [0.938, 0.938, 0.875], [0.134, 0.134, 0.269]], "crystal_system": "tetragonal", "volume_a3_per_cell": 59.8, "dos_at_fermi_per_ev_fu": 2.32, "formation_energy_uncorrected_mev_per_atom": 399}

{"formula": "VSb2Pd", "functional": "GGA-PBE", "state": "relaxed", "cell": [[-2.400, 1.810, -1.254], [-0.695, -0.191, -3.177], [-6.957, -6.141, 0.221]], "species": ["Sb", "Pd", "Sb", "V"], "frac_coords": [[0.095, 0.095, 0.715], [0.000, 0.000, 0.000], [0.905, 0.905, 0.285], [0.500, 0.500, 0.500]], "crystal_system": "trigonal", "volume_a3_per_cell": 83.5, "dos_at_fermi_per_ev_fu": 4.52, "formation_energy_uncorrected_mev_per_atom": 52}

{"formula": "VSb2Pd", "functional": "GGA-PBE", "state": "relaxed", "cell": [[-2.893, -2.365, -2.549], [2.572, 0.775, -3.639], [4.358, -8.090, -1.454]], "species": ["Sb", "Sb", "V", "Pd", "Sb", "Sb", "Pd", "V"], "frac_coords": [[0.875, 0.879, 0.750], [0.121, 0.625, 0.250], [0.250, 0.750, 0.500], [0.750, 0.250, 0.500], [0.375, 0.371, 0.750], [0.629, 0.125, 0.250], [0.000, 0.000, 0.000], [0.500, 0.500, 0.000]], "crystal_system": "tetragonal", "volume_a3_per_cell": 178.7, "dos_at_fermi_per_ev_fu": 2.16, "formation_energy_uncorrected_mev_per_atom": 70}

{"formula": "VSbPd6", "functional": "GGA-PBE", "state": "relaxed", "cell": [[-5.116, 3.393, -3.365], [-5.467, -3.597, -3.451], [-5.078, -0.160, 0.290]], "species": ["Pd", "Pd", "Pd", "Pd", "Pd", "Sb", "Pd", "V"], "frac_coords": [[0.942, 0.449, 0.863], [0.254, 0.058, 0.238], [0.058, 0.551, 0.137], [0.746, 0.942, 0.762], [0.550, 0.746, 0.646], [0.000, 0.000, 0.000], [0.450, 0.254, 0.354], [0.500, 0.500, 0.500]], "crystal_system": "trigonal", "de_polymorph_ev_per_fu": 0.95, "volume_a3_per_cell": 131.5, "dos_at_fermi_per_ev_fu": 6.37, "formation_energy_uncorrected_mev_per_atom": -182}